Here is a relaxed Dy6SbPb2Se3 crystal from Alexandria. Energies are from PBE.

The structure belongs to space group C2/m (No. 12); the cell edges are 18.563, 4.267 and 8.529 Å and the angles 90.00°, 102.91° and 90.00°. The inequivalent atoms are Dy at (0.001, 0.000, 0.245), Dy at (0.164, 0.500, 0.089), Dy at (0.168, 0.500, 0.578), Sb at (0.000, 0.500, 0.500), Pb at (0.167, 0.000, 0.833), Se at (0.000, 0.500, 0.000) and Se at (0.166, 0.000, 0.334).

=====

Here is a relaxed Dy4SbPbSe2 crystal from Alexandria. Energies are from PBE.

The structure belongs to space group P2/m (No. 10); the cell edges are 7.352, 4.269 and 7.384 Å and the angles 90.00°, 109.54° and 90.00°. The inequivalent atoms are Dy at (0.241, 0.000, 0.247), Dy at (0.242, 0.500, 0.747), Sb at (0.500, 0.000, 0.000), Pb at (0.500, 0.500, 0.500), Se at (0.000, 0.000, 0.500) and Se at (0.000, 0.500, 0.000).

=====

Here is a relaxed Dy6Sb2Te3Pb crystal from Alexandria. Energies are from PBE.

The structure belongs to space group C2/m (No. 12); the cell edges are 19.130, 4.396 and 8.775 Å and the angles 90.00°, 103.20° and 90.00°. The inequivalent atoms are Dy at (0.002, 0.000, 0.244), Dy at (0.164, 0.500, 0.089), Dy at (0.169, 0.500, 0.577), Sb at (0.167, 0.000, 0.334), Te at (0.000, 0.500, 0.500), Te at (0.167, 0.000, 0.833) and Pb at (0.000, 0.500, 0.000).

=====

Here is a relaxed Dy4SbTe2Pb crystal from Alexandria. Energies are from PBE.

The structure belongs to space group P2/m (No. 10); the cell edges are 7.605, 4.403 and 7.618 Å and the angles 90.00°, 109.48° and 90.00°. The inequivalent atoms are Dy at (0.239, 0.000, 0.247), Dy at (0.240, 0.500, 0.746), Sb at (0.000, 0.500, 0.000), Te at (0.500, 0.000, 0.000), Te at (0.500, 0.500, 0.500) and Pb at (0.000, 0.000, 0.500).

=====

Here is a relaxed Dy6Sb3TePb2 crystal from Alexandria. Energies are from PBE.

The structure belongs to space group C2/m (No. 12); the cell edges are 19.262, 4.323 and 8.953 Å and the angles 90.00°, 103.68° and 90.00°. The inequivalent atoms are Dy at (0.000, 0.000, 0.244), Dy at (0.165, 0.500, 0.088), Dy at (0.168, 0.500, 0.580), Sb at (0.000, 0.500, 0.000), Sb at (0.165, 0.000, 0.334), Te at (0.000, 0.500, 0.500) and Pb at (0.167, 0.000, 0.833).

=====

Here is a relaxed Dy6Sb2TePb3 crystal from Alexandria. Energies are from PBE.

The structure belongs to space group C2/m (No. 12); the cell edges are 19.585, 4.266 and 9.123 Å and the angles 90.00°, 107.30° and 90.00°. The inequivalent atoms are Dy at (0.002, 0.000, 0.251), Dy at (0.167, 0.500, 0.091), Dy at (0.169, 0.500, 0.577), Sb at (0.166, 0.000, 0.333), Te at (0.000, 0.500, 0.000), Pb at (0.000, 0.500, 0.500) and Pb at (0.166, 0.000, 0.834).

=====

Here is a relaxed Dy4Sb2TePb crystal from Alexandria. Energies are from PBE.

The structure belongs to space group P2/m (No. 10); the cell edges are 7.632, 4.369 and 7.633 Å and the angles 90.00°, 109.15° and 90.00°. The inequivalent atoms are Dy at (0.243, 0.000, 0.243), Dy at (0.246, 0.500, 0.750), Sb at (0.000, 0.000, 0.500), Sb at (0.000, 0.500, 0.000), Te at (0.500, 0.500, 0.500) and Pb at (0.500, 0.000, 0.000).

=====

Here is a relaxed Dy6Sb3Te2Pb crystal from Alexandria. Energies are from PBE.

The structure belongs to space group C2/m (No. 12); the cell edges are 19.119, 4.385 and 8.804 Å and the angles 90.00°, 103.21° and 90.00°. The inequivalent atoms are Dy at (0.002, 0.000, 0.251), Dy at (0.164, 0.500, 0.090), Dy at (0.166, 0.500, 0.576), Sb at (0.000, 0.500, 0.000), Sb at (0.169, 0.000, 0.333), Te at (0.168, 0.000, 0.836) and Pb at (0.000, 0.500, 0.500).

=====

Number 1: raw formation energy -1220.5 meV per atom. Number 2: raw formation energy -1281.0 meV per atom. Number 3: raw formation energy -1151.7 meV per atom. Number 4: raw formation energy -1104.9 meV per atom. Number 5: raw formation energy -936.0 meV per atom. Number 6: raw formation energy -807.3 meV per atom. Number 7: raw formation energy -1036.3 meV per atom. Number 8: raw formation energy -1118.2 meV per atom.